Compound: RbNaNp2Br8
Source: Alexandria via LeMat-Bulk
Functional: GGA-PBE
Structure: optimized geometry

The space group is P-1 (No. 2) and the conventional cell measures 7.1363, 7.3963 and 9.0056 Å, with angles of 90.49, 90.87 and 94.50 degrees. Symmetry generates all atoms from Rb at (0.0000, 0.0000, 0.0000), Na at (0.0000, 0.0000, 0.5000), Np at (0.4995, 0.4999, 0.2561), Br at (0.2596, 0.1761, 0.2806), Br at (0.2641, 0.1728, 0.7287), Br at (0.2802, 0.6412, 0.4989) and Br at (0.2868, 0.6282, 0.9981).

The formation energy (no corrections) is -16.96 eV/f.u.

=====

Compound: Ba3In2Pb9
Source: Alexandria via LeMat-Bulk
Functional: GGA-PBE
Structure: optimized geometry

The space group is Immm (No. 71) and the conventional cell measures 5.4663, 12.2045 and 14.6590 Å, with angles of 90.00, 90.00 and 90.00 degrees. Symmetry generates all atoms from Ba at (0.0000, 0.0000, 0.0000), Ba at (0.0000, 0.0000, 0.3001), In at (0.0000, 0.1699, 0.5000), Pb at (0.0000, 0.2785, 0.1479), Pb at (0.0000, 0.3650, 0.3582) and Pb at (0.0000, 0.5000, 0.0000).

The energy of formation from the pure elements comes out at -0.31 eV per atom.

=====

Compound: CrAs2Se
Source: Alexandria via LeMat-Bulk
Functional: GGA-PBE
Structure: optimized geometry

The space group is Amm2 (No. 38) and the conventional cell measures 3.7402, 5.4401 and 7.8632 Å, with angles of 90.00, 90.00 and 90.00 degrees. Symmetry generates all atoms from Cr at (0.0000, 0.0000, 0.0000), As at (0.0000, 0.0000, 0.5206), As at (0.5000, 0.0000, 0.7450) and Se at (0.5000, 0.0000, 0.2196).

The formation energy (no corrections) is 0.14 eV/f.u.

=====

Compound: TaTcNO2
Source: Alexandria via LeMat-Bulk
Functional: GGA-PBE
Structure: optimized geometry

The space group is P4/mmm (No. 123) and the conventional cell measures 3.9558, 3.9558 and 4.1673 Å, with angles of 90.00, 90.00 and 90.00 degrees. Symmetry generates all atoms from Ta at (0.0000, 0.0000, 0.0000), Tc at (0.5000, 0.5000, 0.5000), N at (0.0000, 0.0000, 0.5000) and O at (0.0000, 0.5000, 0.0000).

The formation energy (no corrections) is -3.73 eV/f.u.

=====

Number 1: calculated volume 473.8 Å³ per cell, magnetic moment 8.0 μB per cell. Number 2: calculated volume 977.9 Å³ per cell, magnetic moment 0.0 μB per cell. Number 3: calculated volume 160.0 Å³ per cell, magnetic moment 7.3 μB per cell. Number 4: calculated volume 65.2 Å³ per cell, magnetic moment 4.9 μB per cell.